Record 1
! meta-GGA SCAN AlInPt2, PBEsol geometry; values from VASP
! formation energy = -65.7 kJ per mole of atoms
! total energy = -46.062 eV per atom
! spin magnetization = 0.00 μB per formula unit
! crystal system = tetragonal
&SYSTEM
  ibrav = 0, nat = 4, ntyp = 3
/
ATOMIC_SPECIES
In 114.82 In.upf
Pt 195.08 Pt.upf
Al 26.98 Al.upf
CELL_PARAMETERS angstrom
3.235 0.000 0.000
0.000 4.440 0.000
0.000 0.000 4.440
ATOMIC_POSITIONS crystal
In 0.500 0.000 0.000
Pt 0.000 0.500 0.000
Pt 0.000 0.000 0.500
Al 0.500 0.500 0.500

Record 2
! meta-GGA SCAN YTeRu2Pt, PBEsol geometry; values from VASP
! total energy = -40.539 eV per atom
! E_form (uncorrected) = 449 meV per atom
! spin magnetization = 1.18 μB per formula unit
! crystal system = tetragonal
&SYSTEM
  ibrav = 0, nat = 5, ntyp = 4
/
ATOMIC_SPECIES
Ru 101.07 Ru.upf
Y 88.91 Y.upf
Te 127.60 Te.upf
Pt 195.08 Pt.upf
CELL_PARAMETERS angstrom
4.742 0.000 0.000
0.000 4.742 0.000
0.000 0.000 4.889
ATOMIC_POSITIONS crystal
Ru 0.000 0.500 0.000
Ru 0.500 0.000 0.000
Y 0.500 0.500 0.500
Te 0.000 0.000 0.000
Pt 0.000 0.000 0.500

Record 3
! meta-GGA SCAN HPdRhBr2, PBEsol geometry; values from VASP
! total energy = -21.235 eV per atom
! spin magnetization = 0.00 μB per formula unit
! crystal system = tetragonal
&SYSTEM
  ibrav = 0, nat = 5, ntyp = 4
/
ATOMIC_SPECIES
Pd 106.42 Pd.upf
Rh 102.91 Rh.upf
Br 79.90 Br.upf
H 1.01 H.upf
CELL_PARAMETERS angstrom
-0.415 -0.426 -3.292
-1.746 -4.315 0.779
-4.346 1.814 0.312
ATOMIC_POSITIONS crystal
Pd 0.500 0.500 0.500
Rh 0.500 0.000 0.000
Br 0.000 0.500 0.000
Br 0.000 0.000 0.500
H 0.000 0.000 0.000

Record 4
! meta-GGA SCAN LaYOs2, PBEsol geometry; values from VASP
! formation energy = 4.7 kJ per mole of atoms
! total energy = -53.628 eV per atom
! spin magnetization = 0.00 μB per formula unit
! crystal system = tetragonal
&SYSTEM
  ibrav = 0, nat = 4, ntyp = 3
/
ATOMIC_SPECIES
Os 190.23 Os.upf
La 138.91 La.upf
Y 88.91 Y.upf
CELL_PARAMETERS angstrom
3.437 0.000 0.000
0.000 3.437 0.000
0.000 0.000 6.844
ATOMIC_POSITIONS crystal
Os 0.000 0.000 0.246
Os 0.000 0.000 0.754
La 0.500 0.500 0.500
Y 0.500 0.500 0.000

Record 5
! meta-GGA SCAN KCuMo2, PBEsol geometry; values from VASP
! formation energy = 127.7 kJ per mole of atoms
! total energy = -22.001 eV per atom
! spin magnetization = 0.00 μB per formula unit
! crystal system = orthorhombic
&SYSTEM
  ibrav = 0, nat = 4, ntyp = 3
/
ATOMIC_SPECIES
Cu 63.55 Cu.upf
Mo 95.94 Mo.upf
K 39.10 K.upf
CELL_PARAMETERS angstrom
-0.239 -2.514 0.317
2.848 -0.813 -4.294
2.921 0.358 5.037
ATOMIC_POSITIONS crystal
Cu 0.500 0.000 0.000
Mo 0.000 0.500 0.500
Mo 0.000 0.000 0.500
K 0.500 0.500 0.000

Record 6
! meta-GGA SCAN Ag2Sb, PBEsol geometry; values from VASP
! total energy = -33.255 eV per atom
! E_form (uncorrected) = 76 meV per atom
! spin magnetization = 0.00 μB per formula unit
! crystal system = tetragonal
&SYSTEM
  ibrav = 0, nat = 12, ntyp = 2
/
ATOMIC_SPECIES
Sb 121.76 Sb.upf
Ag 107.87 Ag.upf
CELL_PARAMETERS angstrom
4.241 0.000 0.000
0.000 4.241 0.000
-2.120 -2.120 13.029
ATOMIC_POSITIONS crystal
Sb 0.173 0.673 0.346
Sb 0.923 0.923 0.846
Sb 0.077 0.077 0.154
Sb 0.327 0.827 0.654
Ag 0.581 0.581 0.161
Ag 0.751 0.751 0.502
Ag 0.249 0.249 0.498
Ag 0.001 0.501 0.002
Ag 0.419 0.419 0.839
Ag 0.831 0.331 0.661
Ag 0.669 0.169 0.339
Ag 0.499 0.999 0.998

Record 7
! meta-GGA SCAN Cu2TeSe, PBEsol geometry; values from VASP
! total energy = -21.958 eV per atom
! E_form (uncorrected) = -26 meV per atom
! spin magnetization = 0.00 μB per formula unit
! crystal system = monoclinic
&SYSTEM
  ibrav = 0, nat = 4, ntyp = 3
/
ATOMIC_SPECIES
Cu 63.55 Cu.upf
Se 78.96 Se.upf
Te 127.60 Te.upf
CELL_PARAMETERS angstrom
3.597 0.000 0.000
-1.799 3.778 -0.019
0.000 -1.944 5.470
ATOMIC_POSITIONS crystal
Cu 0.244 0.488 0.773
Cu 0.002 0.004 0.952
Se 0.484 0.969 0.599
Te 0.770 0.540 0.175

Record 8
! meta-GGA SCAN PIrCl, PBEsol geometry; values from VASP
! total energy = -30.164 eV per atom
! E_form (uncorrected) = -339 meV per atom
! spin magnetization = 0.00 μB per formula unit
! crystal system = trigonal
&SYSTEM
  ibrav = 0, nat = 3, ntyp = 3
/
ATOMIC_SPECIES
Ir 192.22 Ir.upf
P 30.97 P.upf
Cl 35.45 Cl.upf
CELL_PARAMETERS angstrom
-1.884 2.495 1.511
-1.370 -1.896 -2.566
-1.764 -3.445 3.487
ATOMIC_POSITIONS crystal
Ir 0.333 0.667 0.628
P 0.667 0.333 0.427
Cl 0.000 0.000 0.945

Record 9
! meta-GGA SCAN Be2SiTe, PBEsol geometry; values from VASP
! total energy = -13.309 eV per atom
! E_form (uncorrected) = 685 meV per atom
! spin magnetization = 0.00 μB per formula unit
! crystal system = orthorhombic
&SYSTEM
  ibrav = 0, nat = 4, ntyp = 3
/
ATOMIC_SPECIES
Si 28.09 Si.upf
Be 9.01 Be.upf
Te 127.60 Te.upf
CELL_PARAMETERS angstrom
3.802 0.000 0.000
1.901 4.169 0.042
1.901 0.320 4.157
ATOMIC_POSITIONS crystal
Si 0.000 0.500 0.500
Be 0.687 0.313 0.313
Be 0.313 0.687 0.687
Te 0.500 0.000 0.000

Record 10
! meta-GGA SCAN Hf5Al3, PBEsol geometry; values from VASP
! formation energy = -28.3 kJ per mole of atoms
! total energy = -42.371 eV per atom
! spin magnetization = 0.00 μB per formula unit
! crystal system = hexagonal
&SYSTEM
  ibrav = 0, nat = 16, ntyp = 2
/
ATOMIC_SPECIES
Hf 178.49 Hf.upf
Al 26.98 Al.upf
CELL_PARAMETERS angstrom
-0.052 4.795 2.889
-4.891 3.256 -5.492
-3.083 -3.858 6.348
ATOMIC_POSITIONS crystal
Hf 0.500 0.333 0.667
Hf 0.750 0.000 0.236
Hf 0.750 0.764 0.764
Hf 0.000 0.333 0.667
Hf 0.250 0.000 0.764
Hf 0.250 0.764 0.000
Hf 0.250 0.236 0.236
Hf 0.000 0.667 0.333
Hf 0.500 0.667 0.333
Hf 0.750 0.236 0.000
Al 0.750 0.603 0.000
Al 0.750 0.397 0.397
Al 0.250 0.603 0.603
Al 0.250 0.000 0.397
Al 0.250 0.397 0.000
Al 0.750 0.000 0.603

Record 11
! meta-GGA SCAN Ca2AlIn, PBEsol geometry; values from VASP
! formation energy = -21.7 kJ per mole of atoms
! total energy = -15.341 eV per atom
! spin magnetization = 0.00 μB per formula unit
! crystal system = tetragonal
&SYSTEM
  ibrav = 0, nat = 4, ntyp = 3
/
ATOMIC_SPECIES
In 114.82 In.upf
Ca 40.08 Ca.upf
Al 26.98 Al.upf
CELL_PARAMETERS angstrom
-3.940 -0.299 -2.528
0.563 -4.646 -0.328
-0.834 1.885 5.428
ATOMIC_POSITIONS crystal
In 0.500 0.500 0.000
Ca 0.750 0.250 0.500
Ca 0.000 0.000 0.000
Al 0.250 0.750 0.500

Record 12
! meta-GGA SCAN CaTaSb2, PBEsol geometry; values from VASP
! total energy = -38.027 eV per atom
! E_form (uncorrected) = -335 meV per atom
! spin magnetization = 0.00 μB per formula unit
! crystal system = trigonal
&SYSTEM
  ibrav = 0, nat = 4, ntyp = 3
/
ATOMIC_SPECIES
Sb 121.76 Sb.upf
Ca 40.08 Ca.upf
Ta 180.95 Ta.upf
CELL_PARAMETERS angstrom
-0.739 2.820 -2.661
-2.006 -0.865 -3.287
-7.332 2.264 1.508
ATOMIC_POSITIONS crystal
Sb 0.740 0.740 0.780
Sb 0.260 0.260 0.220
Ca 0.500 0.500 0.500
Ta 0.000 0.000 0.000

Question: Among the records above, which one has the highest total energy?
Answer: Be2SiTe

Question: spin magnetization of number 3 (HPdRhBr2)?
Answer: 0.00 μB per formula unit

Question: The highest total energy belongs to which entry?
Answer: Be2SiTe